Computed, not measured: an optimized crystal structure of MgBeC2 at the PBE level of DFT.

Results
DOS at the Fermi energy = 1.373 states/eV/cell
Formation energy from the elements = 0.8334 eV per atom
Space group = I-42d (122)
Energy above the lowest structure with this stoichiometry = 0 meV/atom

abc: 3.608 3.608 6.376
angles: 73.56 73.56 90.00
Element x y z (fractional)
Be1 0.500 0.500 0.000
Be2 0.250 0.750 0.500
Mg1 0.000 0.000 0.000
Mg2 0.750 0.250 0.500
C1 0.475 0.125 0.250
C2 0.275 0.625 0.250
C3 0.375 0.525 0.750
C4 0.875 0.725 0.750